--- A ---
Pm4Y3Sc2 | PBE | relaxed

abc: 15.0619 5.0115 7.8761
angles: 90.00 108.44 90.00
Closest atoms and distances in Å follow each position.
Space group C2/m (No. 12)
Asymmetric unit:
Pm1 0.0542 0.0000 0.3265  6 Y 3.50-3.61, 2 Sc 3.53-3.54, 4 Pm 3.57-3.61
Pm2 0.2225 0.5000 0.3242  3 Sc 3.43-3.49, 4 Y 3.51-3.62, 5 Pm 3.57-3.63
Y1 0.0000 0.5000 0.0000  6 Pm 3.50-3.51, 2 Y 3.51, 4 Sc 3.58
Y2 0.1135 0.5000 0.6736  3 Sc 3.46-3.49, 2 Y 3.51-3.64, 7 Pm 3.51-3.62
Sc1 0.1697 0.0000 0.9993  5 Pm 3.43-3.54, 5 Y 3.46-3.58, 2 Sc 3.48

Calculated values
Magnetization (μB per cell): 0.00
Crystal system: monoclinic

***

--- B ---
Pm4Y3Sc2 | PBE | relaxed

abc: 16.5509 11.6201 5.9369
angles: 90.00 97.95 90.00
Closest atoms and distances in Å follow each position.
Space group C2/c (No. 15)
Asymmetric unit:
Pm1 0.0624 0.1182 0.0319  1 Sc 3.38, 4 Pm 3.43-3.68, 4 Y 3.49-3.60
Pm2 0.2151 0.3926 0.8825  3 Sc 3.32-3.67, 5 Y 3.42-3.54, 1 Pm 3.65
Y1 0.0000 0.3849 0.7500  6 Sc 3.30-3.50, 4 Pm 3.54-3.60
Y2 0.1741 0.1444 0.5781  1 Sc 3.23, 7 Pm 3.42-3.56
Sc1 0.1026 0.3709 0.3063  4 Y 3.23-3.50, 3 Pm 3.32-3.38, 1 Sc 3.37

Calculated values
Magnetization (μB per cell): 0.00
Crystal system: monoclinic

***

Stability check: which of them is least stable? B.

***

--- A ---
Pm4Y3Sc | PBE | relaxed

abc: 11.4320 7.2708 6.2781
angles: 90.00 90.00 90.00
Closest atoms and distances in Å follow each position.
Space group Pmn2_1 (No. 31)
Asymmetric unit:
Pm1 0.0000 0.1271 0.0000  6 Pm 3.51-3.76, 4 Y 3.55-3.67, 2 Sc 3.61-3.68
Pm2 0.0000 0.8711 0.5198  6 Pm 3.51-3.76, 2 Sc 3.56-3.71, 4 Y 3.56-3.68
Pm3 0.2413 0.1290 0.3460  1 Sc 3.46, 6 Pm 3.51-3.66, 5 Y 3.58-3.70
Y1 0.0000 0.6225 0.0099  4 Y 3.53, 6 Pm 3.57-3.68, 2 Sc 3.57-3.61
Y2 0.2493 0.6208 0.3411  2 Sc 3.50-3.55, 4 Y 3.53-3.60, 6 Pm 3.55-3.70
Sc1 0.0000 0.3818 0.5064  6 Pm 3.46-3.71, 6 Y 3.50-3.61

Calculated values
Magnetization (μB per cell): 0.00
Crystal system: orthorhombic

***

--- B ---
Pm4Y3Sc | PBE | relaxed

abc: 25.0015 3.4412 6.1381
angles: 90.00 95.02 90.00
Closest atoms and distances in Å follow each position.
Space group C2/m (No. 12)
Asymmetric unit:
Pm1 0.1022 0.0000 0.2297  3 Y 3.17-3.23, 2 Sc 3.29, 4 Pm 3.41-3.44
Pm2 0.2201 0.5000 0.2379  6 Pm 3.41-3.81, 1 Y 3.45
Y1 0.0000 0.0000 0.5000  2 Pm 3.17, 2 Y 3.44, 4 Sc 3.52
Y2 0.1418 0.0000 0.7442  3 Pm 3.22-3.45, 2 Y 3.44
Sc1 0.0000 0.5000 0.0000  4 Pm 3.29, 2 Sc 3.44, 4 Y 3.52

Calculated values
Magnetization (μB per cell): 0.00
Crystal system: monoclinic

***

Stability check: which of them is least stable? B.

***

--- A ---
PmScZn | PBE | relaxed

abc: 4.8269 4.8269 3.7210
angles: 90.00 90.00 120.00
Closest atoms and distances in Å follow each position.
Space group P3m1 (No. 156)
Asymmetric unit:
Pm1 0.0000 0.0000 0.0000  6 Zn 3.34-3.36, 6 Sc 3.35, 2 Pm 3.72
Sc1 0.3333 0.6667 0.4989  3 Zn 2.79
Zn1 0.6667 0.3333 0.5045  3 Sc 2.79

Calculated values
Magnetization (μB per cell): 0.00
Crystal system: trigonal

***

--- B ---
PmScZn | PBE | relaxed

abc: 3.4969 3.4969 11.9510
angles: 90.00 90.00 90.00
Closest atoms and distances in Å follow each position.
Space group I4mm (No. 107)
Asymmetric unit:
Pm1 0.0000 0.0000 0.0000  4 Zn 3.21, 5 Sc 3.47-3.52, 4 Pm 3.50
Sc1 0.0000 0.0000 0.2907  4 Zn 2.86
Zn1 0.0000 0.0000 0.6713  4 Sc 2.86

Calculated values
Magnetization (μB per cell): 0.00
Crystal system: tetragonal

***

Stability check: which of them is least stable? A.

***

--- A ---
PmScZn2 | PBE | relaxed

abc: 7.0377 7.0377 7.0377
angles: 90.00 90.00 90.00
Closest atoms and distances in Å follow each position.
Space group Fm-3m (No. 225)
Asymmetric unit:
Pm1 0.0000 0.0000 0.0000  8 Zn 3.05
Sc1 0.0000 0.0000 0.5000  8 Zn 3.05
Zn1 0.2500 0.2500 0.2500  4 Pm 3.05, 4 Sc 3.05

Calculated values
Magnetization (μB per cell): 0.01
Crystal system: cubic

***

--- B ---
PmScZn2 | PBE | relaxed

abc: 3.4644 3.4644 7.1754
angles: 90.00 90.00 90.00
Closest atoms and distances in Å follow each position.
Space group P4/mmm (No. 123)
Asymmetric unit:
Pm1 0.0000 0.0000 0.0000  8 Zn 3.20, 4 Pm 3.46
Sc1 0.0000 0.0000 0.5000  8 Zn 2.89
Zn1 0.5000 0.5000 0.2865  4 Sc 2.89, 1 Zn 3.06, 4 Pm 3.20

Calculated values
Magnetization (μB per cell): 0.00
Crystal system: tetragonal

***

Stability check: which of them is least stable? A.

***

--- A ---
PmSc2Zn | PBE | relaxed

abc: 3.4101 3.4101 29.6549
angles: 90.00 90.00 120.00
Closest atoms and distances in Å follow each position.
Space group R3m (No. 160, hexagonal axes)
Asymmetric unit:
Pm1 0.0000 0.0000 0.0000  6 Pm 3.41, 6 Sc 3.46-3.50
Sc1 0.0000 0.0000 0.2375  3 Zn 2.85
Sc2 0.0000 0.0000 0.4309  3 Zn 2.87
Zn1 0.0000 0.0000 0.8345  6 Sc 2.85-2.87

Calculated values
Magnetization (μB per cell): 0.00
Crystal system: trigonal

***

--- B ---
PmSc2Zn | PBE | relaxed

abc: 3.3748 3.3748 8.4097
angles: 90.00 90.00 90.00
Closest atoms and distances in Å follow each position.
Space group P4/mmm (No. 123)
Asymmetric unit:
Pm1 0.0000 0.0000 0.0000  4 Pm 3.37, 8 Sc 3.49
Sc1 0.5000 0.5000 0.3025  4 Zn 2.91
Zn1 0.0000 0.0000 0.5000  8 Sc 2.91

Calculated values
Magnetization (μB per cell): 0.00
Crystal system: tetragonal

***

Stability check: which of them is least stable? A.

***

--- A ---
PmScZn4 | PBE | relaxed

abc: 7.6489 7.6489 7.6489
angles: 90.00 90.00 90.00
Closest atoms and distances in Å follow each position.
Space group F-43m (No. 216)
Asymmetric unit:
Pm1 0.0000 0.0000 0.0000  12 Zn 3.17, 4 Sc 3.31
Sc1 0.2500 0.2500 0.2500  12 Zn 3.17, 4 Pm 3.31
Zn1 0.1245 0.1245 0.6245  6 Zn 2.69-2.72

Calculated values
Magnetization (μB per cell): 0.00
Crystal system: cubic

***

--- B ---
PmScZn4 | PBE | relaxed

abc: 4.4176 4.4176 6.9895
angles: 90.00 90.00 120.00
Closest atoms and distances in Å follow each position.
Space group P6/mmm (No. 191)
Asymmetric unit:
Pm1 0.0000 0.0000 0.0000  12 Zn 3.25, 2 Sc 3.49
Sc1 0.0000 0.0000 0.5000  12 Zn 2.95
Zn1 0.3333 0.6667 0.2889  3 Zn 2.55

Calculated values
Magnetization (μB per cell): 0.00
Crystal system: hexagonal

***

Stability check: which of them is least stable? A.

***

--- A ---
PmZrSc | PBE | relaxed

abc: 3.2960 3.2960 14.7960
angles: 90.00 90.00 90.00
Closest atoms and distances in Å follow each position.
Space group I4mm (No. 107)
Asymmetric unit:
Pm1 0.0000 0.0000 0.0000  4 Pm 3.30, 4 Zr 3.45, 4 Sc 3.58
Zr1 0.0000 0.0000 0.3283  4 Sc 3.16, 4 Zr 3.30, 4 Pm 3.45
Sc1 0.0000 0.0000 0.6839  4 Zr 3.16, 4 Sc 3.30

Calculated values
Magnetization (μB per cell): 0.00
Crystal system: tetragonal

***

--- B ---
PmZrSc | PBE | relaxed

abc: 5.2967 5.2967 3.2384
angles: 90.00 90.00 120.00
Closest atoms and distances in Å follow each position.
Space group P-6m2 (No. 187)
Asymmetric unit:
Pm1 0.0000 0.0000 0.0000  3 Zr 3.06, 2 Pm 3.24
Zr1 0.3333 0.6667 0.0000  3 Pm 3.06, 2 Zr 3.24
Sc1 0.6667 0.3333 0.5000  2 Sc 3.24, 6 Pm 3.46, 6 Zr 3.46

Calculated values
Magnetization (μB per cell): 0.00
Crystal system: hexagonal

***

Stability check: which of them is least stable? B.

***

--- A ---
PmZr2Sc | PBE | relaxed

abc: 4.6496 4.6496 4.7063
angles: 90.00 90.00 90.00
Closest atoms and distances in Å follow each position.
Space group P4/mmm (No. 123)
Asymmetric unit:
Pm1 0.0000 0.0000 0.0000  4 Sc 3.29, 8 Zr 3.31
Zr1 0.0000 0.5000 0.5000  4 Zr 3.29, 4 Pm 3.31, 4 Sc 3.31
Sc1 0.5000 0.5000 0.0000  4 Pm 3.29, 8 Zr 3.31

Calculated values
Magnetization (μB per cell): 0.00
Crystal system: tetragonal

***

--- B ---
PmZr2Sc | PBE | relaxed

abc: 3.2936 3.2936 32.5323
angles: 90.00 90.00 120.00
Closest atoms and distances in Å follow each position.
Space group R-3m (No. 166, hexagonal axes)
Asymmetric unit:
Pm1 0.0000 0.0000 0.0000  6 Pm 3.29, 6 Zr 3.40
Zr1 0.0000 0.0000 0.2467  3 Sc 3.22, 6 Zr 3.29, 3 Pm 3.40
Sc1 0.0000 0.0000 0.5000  6 Zr 3.22, 6 Sc 3.29

Calculated values
Magnetization (μB per cell): 0.00
Crystal system: trigonal

***

Stability check: which of them is least stable? B.

***

--- A ---
PmZr2Sc | PBE | relaxed

abc: 3.8062 3.8062 7.0964
angles: 90.00 90.00 90.00
Closest atoms and distances in Å follow each position.
Space group P4/mmm (No. 123)
Asymmetric unit:
Pm1 0.0000 0.0000 0.0000  8 Zr 3.37, 2 Sc 3.55
Zr1 0.5000 0.5000 0.2865  1 Zr 3.03, 4 Sc 3.09, 4 Pm 3.37
Sc1 0.0000 0.0000 0.5000  8 Zr 3.09

Calculated values
Magnetization (μB per cell): 0.00
Crystal system: tetragonal

***

--- B ---
PmZr2Sc | PBE | relaxed

abc: 3.3046 3.3046 32.4105
angles: 90.00 90.00 120.00
Closest atoms and distances in Å follow each position.
Space group R3m (No. 160, hexagonal axes)
Asymmetric unit:
Pm1 0.0000 0.0000 0.0000  6 Pm 3.30, 6 Zr 3.40-3.42
Zr1 0.0000 0.0000 0.2459  3 Sc 3.20, 6 Zr 3.30, 3 Pm 3.42
Zr2 0.0000 0.0000 0.4203  3 Sc 3.21, 6 Zr 3.30, 3 Pm 3.40
Sc1 0.0000 0.0000 0.8332  6 Zr 3.20-3.21, 6 Sc 3.30

Calculated values
Magnetization (μB per cell): 0.00
Crystal system: trigonal

***

Stability check: which of them is least stable? A.

***

--- A ---
PmSe | PBE | relaxed

abc: 3.6332 3.6332 3.6332
angles: 90.00 90.00 90.00
Closest atoms and distances in Å follow each position.
Space group Pm-3m (No. 221)
Asymmetric unit:
Pm1 0.0000 0.0000 0.0000  8 Se 3.15
Se1 0.5000 0.5000 0.5000  8 Pm 3.15

Calculated values
Magnetization (μB per cell): 0.30
Crystal system: cubic

***

--- B ---
PmSe | PBE | relaxed

abc: 5.0136 5.0136 5.8723
angles: 90.00 90.00 120.00
Closest atoms and distances in Å follow each position.
Space group P6_3/mmc (No. 194)
Asymmetric unit:
Pm1 0.3333 0.6667 0.2500  5 Se 2.89-2.94
Se1 0.3333 0.6667 0.7500  5 Pm 2.89-2.94

Calculated values
Magnetization (μB per cell): 0.00
Crystal system: hexagonal

***

Stability check: which of them is least stable? B.

***

--- A ---
PmSe2 | PBE | relaxed

abc: 8.5115 4.1635 8.3791
angles: 90.00 90.14 90.00
Closest atoms and distances in Å follow each position.
Space group P2_1/c (No. 14)
Asymmetric unit:
Pm1 0.2256 0.2255 0.3739  9 Se 2.99-3.22
Se1 0.1313 0.7443 0.1252  5 Pm 2.99-3.16
Se2 0.4985 0.6907 0.3802  1 Se 2.56

Calculated values
Magnetization (μB per cell): 0.00
Crystal system: monoclinic

***

--- B ---
PmSe2 | PBE | relaxed

abc: 4.1385 4.1385 8.5711
angles: 90.00 90.00 90.00
Closest atoms and distances in Å follow each position.
Space group P4/nmm (No. 129, origin choice 2)
Asymmetric unit:
Pm1 0.2500 0.2500 0.2262  9 Se 3.04-3.13
Se1 0.2500 0.2500 0.8687  5 Pm 3.04-3.06
Se2 0.2500 0.7500 0.5000  4 Se 2.93, 4 Pm 3.13

Calculated values
Magnetization (μB per cell): 0.00
Crystal system: tetragonal

***

Stability check: which of them is least stable? B.

***

--- A ---
Pm3SmSe6 | PBE | relaxed

abc: 7.0093 7.7344 12.8239
angles: 90.00 122.99 90.00
Closest atoms and distances in Å follow each position.
Space group P2_1/c (No. 14)
Asymmetric unit:
Pm1 0.0000 0.0000 0.0000  6 Se 2.86-2.97
Pm2 0.2966 0.1032 0.7504  6 Se 2.96-3.14
Sm1 0.5000 0.0000 0.5000  6 Se 2.84-2.95
Se1 0.0887 0.0637 0.2508  1 Sm 2.95, 3 Pm 2.96-2.99
Se2 0.2563 0.6821 0.0844  1 Sm 2.84, 3 Pm 2.89-3.14
Se3 0.4138 0.1830 0.0842  3 Pm 2.86-3.14, 1 Sm 2.87

Calculated values
Magnetization (μB per cell): 0.00
Crystal system: monoclinic

***

--- B ---
Pm3SmSe6 | PBE | relaxed

abc: 11.8026 4.2131 12.1247
angles: 90.00 108.74 90.00
Closest atoms and distances in Å follow each position.
Space group P2_1/m (No. 11)
Asymmetric unit:
Pm1 0.0703 0.2500 0.1686  6 Se 2.87-2.98
Pm2 0.1823 0.7500 0.5029  7 Se 2.89-3.15
Pm3 0.3405 0.2500 0.9175  6 Se 2.87-2.98
Sm1 0.4568 0.2500 0.3098  8 Se 3.01-3.21
Se1 0.0191 0.2500 0.3849  4 Pm 2.87-3.10
Se2 0.1013 0.2500 0.9355  4 Pm 2.90-2.96
Se3 0.2495 0.7500 0.2784  3 Pm 2.98-3.07, 2 Sm 3.16
Se4 0.3106 0.7500 0.7499  3 Pm 2.87-2.89, 1 Sm 3.06
Se5 0.3894 0.2500 0.5360  3 Sm 3.01-3.09, 2 Pm 3.15
Se6 0.4164 0.7500 0.1006  3 Pm 2.95-2.98, 2 Sm 3.21

Calculated values
Magnetization (μB per cell): 0.00
Crystal system: monoclinic

***

Stability check: which of them is least stable? A.